The following is a PBE calculation of a relaxed RbSeBr3 crystal, from Alexandria via LeMat-Bulk.

Computed properties:
ρ ... 3.3 Mg/m³
Uncorrected formation energy ... -729 meV per atom

Cell lengths 5.6523, 5.7410, 7.1566 Å; angles 92.72, 101.67, 115.13 degrees
Space group P1 (No. 1)
Inequivalent atoms, fractional coordinates:
Rb (0.0000, 0.0000, 0.0000)
Se (0.4498, 0.9527, 0.5014)
Br (0.0655, 0.6433, 0.5875)
Br (0.4066, 0.6884, 0.1844)
Br (0.5888, 0.2994, 0.8135)

The following is a PBE calculation of a relaxed ZrTl2Rh crystal, from Alexandria via LeMat-Bulk.

Computed properties:
E ... -20.58 eV for the cell shown
ρ ... 12.0 Mg/m³

Cell lengths 4.1302, 4.4654, 4.5400 Å; angles 90.00, 90.00, 90.00 degrees
Space group Pmmm (No. 47)
Inequivalent atoms, fractional coordinates:
Zr (0.0000, 0.0000, 0.0000)
Tl (0.0000, 0.5000, 0.5000)
Tl (0.5000, 0.0000, 0.5000)
Rh (0.5000, 0.5000, 0.0000)

The following is a PBE calculation of a relaxed CsLi3Mg crystal, from Alexandria via LeMat-Bulk.

Computed properties:
Polymorph energy (0 for the lowest one) ... 0.0000 eV/atom
ρ ... 1.5 Mg/m³

Cell lengths 5.8066, 5.8066, 5.8066 Å; angles 90.00, 90.00, 90.00 degrees
Space group Pm-3m (No. 221)
Inequivalent atoms, fractional coordinates:
Cs (0.0000, 0.0000, 0.0000)
Li (0.0000, 0.5000, 0.5000)
Mg (0.5000, 0.5000, 0.5000)

The following is a PBE calculation of a relaxed ScPCO2 crystal, from Alexandria via LeMat-Bulk.

Computed properties:
Polymorph energy (0 for the lowest one) ... 0.3838 eV/atom
ρ ... 2.3 Mg/m³
Uncorrected formation energy ... 410 meV per atom

Cell lengths 3.8455, 3.8455, 5.8488 Å; angles 90.00, 90.00, 90.00 degrees
Space group P4/mmm (No. 123)
Inequivalent atoms, fractional coordinates:
Sc (0.0000, 0.0000, 0.0000)
P (0.0000, 0.0000, 0.5000)
C (0.5000, 0.5000, 0.5000)
O (0.0000, 0.5000, 0.0000)